! PBE-GGA LaCeNi, relaxed; values from VASP
! - uncorrected energy (eV per cell) = -16.852
! - ΔH_f (0 K) (eV per atom) = -0.07
! - calculated volume (Å³/atom) = 23.549
! - offset from the most stable computed form (eV per formula unit) = 0.18
! - space-group type = P3m1
! - N(E_F) (states/eV/atom) = 1.575
&SYSTEM
  ibrav = 0, nat = 3, ntyp = 3
/
ATOMIC_SPECIES
Ce 140.12 Ce.upf
La 138.91 La.upf
Ni 58.69 Ni.upf
CELL_PARAMETERS angstrom
-0.566 -3.770 -1.148
3.932 0.091 -2.240
-0.107 -1.304 4.333
ATOMIC_POSITIONS angstrom
Ce 1.075 -1.937 1.808
La 2.210 -2.877 -0.811
Ni -0.025 -0.169 -0.052

! PBE-GGA PrErAlGa, relaxed; values from VASP
! - uncorrected energy (eV per cell) = -18.021
! - ΔH_f (0 K) (eV per atom) = -0.48
! - calculated volume (Å³/atom) = 25.926
! - offset from the most stable computed form (eV per formula unit) = 0.00
! - space-group type = Amm2
! - N(E_F) (states/eV/atom) = 0.893
&SYSTEM
  ibrav = 0, nat = 4, ntyp = 4
/
ATOMIC_SPECIES
Al 26.98 Al.upf
Ga 69.72 Ga.upf
Pr 140.91 Pr.upf
Er 167.26 Er.upf
CELL_PARAMETERS angstrom
-2.966 -1.814 2.786
-1.555 -2.251 -3.122
5.101 -3.214 -0.225
ATOMIC_POSITIONS angstrom
Al 3.090 -3.520 0.998
Ga -1.750 -2.615 -0.003
Pr 1.024 -1.167 0.331
Er 0.349 -5.006 0.674